No. 1
# Ba2GaSbPt6

A geometry-optimized Ba2GaSbPt6 structure (PBE-GGA, Alexandria via LeMat-Bulk).

Cell: 12.762 5.729 8.664 Å, 90.00 131.62 90.00°
Space group C2/m (No. 12)
Asymmetric unit:
Ba1 0.244 0.000 0.298 x4
Ga1 0.000 0.500 0.000 x2
Sb1 0.000 0.000 0.500 x2
Pt1 0.032 0.257 0.783 x8
Pt2 0.245 0.500 0.115 x4

Calculated values
Energy relative to the elements, uncorrected in eV per formula unit: -6.7

No. 2
# Ba2GaSbPt

A geometry-optimized Ba2GaSbPt structure (PBE-GGA, Alexandria via LeMat-Bulk).

Cell: 6.070 6.070 4.868 Å, 90.00 90.00 90.00°
Space group P4/mmm (No. 123)
Asymmetric unit:
Ba1 0.000 0.500 0.000 x2
Ga1 0.000 0.000 0.500 x1
Sb1 0.500 0.500 0.500 x1
Pt1 0.000 0.000 0.000 x1

Calculated values
Energy relative to the elements, uncorrected in eV per formula unit: -3.6

No. 3
# Ba2Ga3SbPt4

A geometry-optimized Ba2Ga3SbPt4 structure (PBE-GGA, Alexandria via LeMat-Bulk).

Cell: 4.647 4.647 10.348 Å, 90.00 90.00 90.00°
Space group P-4m2 (No. 115)
Asymmetric unit:
Ba1 0.000 0.500 0.242 x2
Ga1 0.000 0.500 0.884 x2
Ga2 0.500 0.500 0.500 x1
Sb1 0.000 0.000 0.500 x1
Pt1 0.000 0.000 0.000 x1
Pt2 0.000 0.500 0.631 x2
Pt3 0.500 0.500 0.000 x1

Calculated values
Energy relative to the elements, uncorrected in eV per formula unit: -8.0

No. 4
# BaScGa2Pt2

A geometry-optimized BaScGa2Pt2 structure (PBE-GGA, Alexandria via LeMat-Bulk).

Cell: 4.4653 4.4653 7.7706 Å, 90.00 90.00 120.00°
Space group P-3m1 (No. 164)
Asymmetric unit:
Ba1 0.0000 0.0000 0.0000 x1
Sc1 0.0000 0.0000 0.5000 x1
Ga1 0.3333 0.6667 0.6835 x2
Pt1 0.3333 0.6667 0.3213 x2

Calculated values
Energy of formation from the pure elements in eV per atom: -0.9440

No. 5
# Ba2GaSi3Pt4

A geometry-optimized Ba2GaSi3Pt4 structure (PBE-GGA, Alexandria via LeMat-Bulk).

Cell: 4.464 4.464 10.184 Å, 90.00 90.00 90.00°
Space group P-4m2 (No. 115)
Asymmetric unit:
Ba1 0.000 0.500 0.247 x2
Ga1 0.500 0.500 0.000 x1
Si1 0.000 0.000 0.000 x1
Si2 0.000 0.500 0.618 x2
Pt1 0.000 0.000 0.500 x1
Pt2 0.000 0.500 0.873 x2
Pt3 0.500 0.500 0.500 x1

Calculated values
Energy relative to the elements, uncorrected in eV per formula unit: -8.1

No. 6
# Ba2GaSiPt6

A geometry-optimized Ba2GaSiPt6 structure (PBE-GGA, Alexandria via LeMat-Bulk).

Cell: 6.676 6.696 6.833 Å, 90.00 60.92 60.15°
Space group P-1 (No. 2)
Asymmetric unit:
Ba1 0.084 0.208 0.124 x2
Ga1 0.500 0.500 0.000 x1
Si1 0.500 0.000 0.500 x1
Pt1 0.013 0.243 0.642 x2
Pt2 0.393 0.349 0.362 x2
Pt3 0.396 0.756 0.360 x2

Calculated values
Energy relative to the elements, uncorrected in eV per formula unit: -7.6

No. 7
# Ba2Ga3SnPt4

A geometry-optimized Ba2Ga3SnPt4 structure (PBE-GGA, Alexandria via LeMat-Bulk).

Cell: 4.638 4.638 10.405 Å, 90.00 90.00 90.00°
Space group P-4m2 (No. 115)
Asymmetric unit:
Ba1 0.000 0.500 0.240 x2
Ga1 0.000 0.500 0.884 x2
Ga2 0.500 0.500 0.500 x1
Sn1 0.000 0.000 0.500 x1
Pt1 0.000 0.000 0.000 x1
Pt2 0.000 0.500 0.632 x2
Pt3 0.500 0.500 0.000 x1

Calculated values
Energy of formation from the pure elements in eV per atom: -0.7919

No. 8
# Ba2GaSnPt6

A geometry-optimized Ba2GaSnPt6 structure (PBE-GGA, Alexandria via LeMat-Bulk).

Cell: 12.739 5.698 8.723 Å, 90.00 131.71 90.00°
Space group C2/m (No. 12)
Asymmetric unit:
Ba1 0.246 0.000 0.299 x4
Ga1 0.000 0.500 0.000 x2
Sn1 0.000 0.000 0.500 x2
Pt1 0.028 0.254 0.783 x8
Pt2 0.247 0.500 0.108 x4

Calculated values
Energy of formation from the pure elements in eV per atom: -0.6674

No. 9
# Ba3Ga2Sn2Pt4

A geometry-optimized Ba3Ga2Sn2Pt4 structure (PBE-GGA, Alexandria via LeMat-Bulk).

Cell: 4.5088 4.5088 17.2706 Å, 90.00 90.00 120.00°
Space group P-3m1 (No. 164)
Asymmetric unit:
Ba1 0.0000 0.0000 0.0000 x1
Ba2 0.0000 0.0000 0.2745 x2
Ga1 0.3333 0.6667 0.1373 x2
Sn1 0.3333 0.6667 0.5657 x2
Pt1 0.3333 0.6667 0.4064 x2
Pt2 0.3333 0.6667 0.8644 x2

Calculated values
Energy of formation from the pure elements in eV per atom: -0.6998

No. 10
# Ba2SrGa12Pt3

A geometry-optimized Ba2SrGa12Pt3 structure (PBE-GGA, Alexandria via LeMat-Bulk).

Cell: 8.6652 8.6652 23.1686 Å, 90.00 90.00 120.00°
Space group R-3m (No. 166, hexagonal axes)
Asymmetric unit:
Ba1 0.0000 0.0000 0.1061 x6
Sr1 0.0000 0.0000 0.5000 x3
Ga1 0.0178 0.5089 0.3511 x18
Ga2 0.1042 0.5521 0.8940 x18
Pt1 0.0000 0.5000 0.0000 x9

Calculated values
Energy of formation from the pure elements in eV per atom: -0.2222

No. 11
# Ba2SrGaPt

A geometry-optimized Ba2SrGaPt structure (PBE-GGA, Alexandria via LeMat-Bulk).

Cell: 6.329 6.329 4.988 Å, 90.00 90.00 90.00°
Space group P4/mmm (No. 123)
Asymmetric unit:
Ba1 0.000 0.500 0.000 x2
Sr1 0.000 0.000 0.500 x1
Ga1 0.500 0.500 0.500 x1
Pt1 0.500 0.500 0.000 x1

Calculated values
Energy of formation from the pure elements in eV per atom: -0.3526

No. 12
# BaTbGa2Pt2

A geometry-optimized BaTbGa2Pt2 structure (PBE-GGA, Alexandria via LeMat-Bulk).

Cell: 4.4985 4.4985 8.1355 Å, 90.00 90.00 120.00°
Space group P-3m1 (No. 164)
Asymmetric unit:
Ba1 0.0000 0.0000 0.0000 x1
Tb1 0.0000 0.0000 0.5000 x1
Ga1 0.3333 0.6667 0.7031 x2
Pt1 0.3333 0.6667 0.3055 x2

Calculated values
Energy of formation from the pure elements in eV per atom: -0.9436

No. 13
# BaTiGaPt2

A geometry-optimized BaTiGaPt2 structure (PBE-GGA, Alexandria via LeMat-Bulk).

Cell: 4.826 4.826 5.705 Å, 90.00 90.00 90.00°
Space group P4/mmm (No. 123)
Asymmetric unit:
Ba1 0.000 0.000 0.000 x1
Ti1 0.000 0.000 0.500 x1
Ga1 0.500 0.500 0.000 x1
Pt1 0.000 0.500 0.500 x2

Calculated values
Energy of formation from the pure elements in eV per atom: 0.3407

No. 14
# Ba2TlGaPt

A geometry-optimized Ba2TlGaPt structure (PBE-GGA, Alexandria via LeMat-Bulk).

Cell: 6.219 6.219 4.827 Å, 90.00 90.00 90.00°
Space group P4/mmm (No. 123)
Asymmetric unit:
Ba1 0.000 0.500 0.000 x2
Tl1 0.000 0.000 0.500 x1
Ga1 0.500 0.500 0.500 x1
Pt1 0.500 0.500 0.000 x1

Calculated values
Energy of formation from the pure elements in eV per atom: -0.4983

No. 15
# BaTlGa2Pt

A geometry-optimized BaTlGa2Pt structure (PBE-GGA, Alexandria via LeMat-Bulk).

Cell: 4.953 4.953 5.627 Å, 90.00 90.00 90.00°
Space group P4/mmm (No. 123)
Asymmetric unit:
Ba1 0.000 0.000 0.000 x1
Tl1 0.500 0.500 0.000 x1
Ga1 0.000 0.500 0.500 x2
Pt1 0.500 0.500 0.500 x1

Calculated values
Energy of formation from the pure elements in eV per atom: -0.3074

No. 16
# Ba2VGaPt

A geometry-optimized Ba2VGaPt structure (PBE-GGA, Alexandria via LeMat-Bulk).

Cell: 6.248 6.248 4.614 Å, 90.00 90.00 90.00°
Space group P4/mmm (No. 123)
Asymmetric unit:
Ba1 0.000 0.500 0.000 x2
V1 0.000 0.000 0.000 x1
Ga1 0.500 0.500 0.500 x1
Pt1 0.000 0.000 0.500 x1

Calculated values
Energy of formation from the pure elements in eV per atom: 0.3224

No. 17
# BaV2GaPt

A geometry-optimized BaV2GaPt structure (PBE-GGA, Alexandria via LeMat-Bulk).

Cell: 4.794 4.794 5.920 Å, 90.00 90.00 90.00°
Space group P4/mmm (No. 123)
Asymmetric unit:
Ba1 0.000 0.000 0.000 x1
V1 0.000 0.500 0.500 x2
Ga1 0.000 0.000 0.500 x1
Pt1 0.500 0.500 0.000 x1

Calculated values
Relative energy among the computed polymorphs in eV per atom: 0.000
Energy of formation from the pure elements in eV per atom: 0.9361

No. 18
# BaV2GaPt

A geometry-optimized BaV2GaPt structure (PBE-GGA, Alexandria via LeMat-Bulk).

Cell: 4.843 4.843 5.355 Å, 90.00 90.00 90.00°
Space group P4/mmm (No. 123)
Asymmetric unit:
Ba1 0.000 0.000 0.000 x1
V1 0.000 0.500 0.000 x2
Ga1 0.000 0.000 0.500 x1
Pt1 0.500 0.500 0.500 x1

Calculated values
Relative energy among the computed polymorphs in eV per atom: 1.330
Energy of formation from the pure elements in eV per atom: 2.2658

No. 19
# BaZnGaPt2

A geometry-optimized BaZnGaPt2 structure (PBE-GGA, Alexandria via LeMat-Bulk).

Cell: 4.456 4.456 10.949 Å, 90.00 90.00 90.00°
Space group I-4m2 (No. 119)
Asymmetric unit:
Ba1 0.000 0.000 0.000 x2
Zn1 0.000 0.500 0.250 x2
Ga1 0.000 0.500 0.750 x2
Pt1 0.000 0.000 0.373 x4

Calculated values
Energy of formation from the pure elements in eV per atom: -0.7078

No. 20
# BaZn2GaPt

A geometry-optimized BaZn2GaPt structure (PBE-GGA, Alexandria via LeMat-Bulk).

Cell: 4.407 4.640 10.920 Å, 90.00 90.00 90.00°
Space group Imm2 (No. 44)
Asymmetric unit:
Ba1 0.000 0.000 0.000 x2
Zn1 0.000 0.000 0.614 x2
Zn2 0.000 0.500 0.255 x2
Ga1 0.000 0.500 0.753 x2
Pt1 0.000 0.000 0.373 x2

Calculated values
Relative energy among the computed polymorphs in eV per atom: 0.000
Energy of formation from the pure elements in eV per atom: -0.4919

No. 21
# Ba2ZnGaPt

A geometry-optimized Ba2ZnGaPt structure (PBE-GGA, Alexandria via LeMat-Bulk).

Cell: 6.178 6.178 4.834 Å, 90.00 90.00 90.00°
Space group P4/mmm (No. 123)
Asymmetric unit:
Ba1 0.000 0.500 0.000 x2
Zn1 0.000 0.000 0.500 x1
Ga1 0.500 0.500 0.500 x1
Pt1 0.500 0.500 0.000 x1

Calculated values
Energy of formation from the pure elements in eV per atom: -0.3985

No. 22
# Ba2Zn3GaPt4

A geometry-optimized Ba2Zn3GaPt4 structure (PBE-GGA, Alexandria via LeMat-Bulk).

Cell: 4.518 4.518 10.492 Å, 90.00 90.00 90.00°
Space group P-4m2 (No. 115)
Asymmetric unit:
Ba1 0.000 0.500 0.243 x2
Zn1 0.000 0.500 0.874 x2
Zn2 0.500 0.500 0.500 x1
Ga1 0.000 0.000 0.500 x1
Pt1 0.000 0.000 0.000 x1
Pt2 0.000 0.500 0.622 x2
Pt3 0.500 0.500 0.000 x1

Calculated values
Energy of formation from the pure elements in eV per atom: -0.6602

No. 23
# Ba2Zn4Ga2Pt

A geometry-optimized Ba2Zn4Ga2Pt structure (PBE-GGA, Alexandria via LeMat-Bulk).

Cell: 6.689 6.689 9.175 Å, 90.00 90.00 90.00°
Space group I4/mmm (No. 139)
Asymmetric unit:
Ba1 0.000 0.500 0.250 x4
Zn1 0.220 0.220 0.000 x8
Ga1 0.000 0.000 0.214 x4
Pt1 0.000 0.000 0.500 x2

Calculated values
Energy of formation from the pure elements in eV per atom: -0.2910

No. 24
# BaZn2GaPt

A geometry-optimized BaZn2GaPt structure (PBE-GGA, Alexandria via LeMat-Bulk).

Cell: 4.966 4.966 4.872 Å, 90.00 90.00 90.00°
Space group P4/mmm (No. 123)
Asymmetric unit:
Ba1 0.000 0.000 0.000 x1
Zn1 0.000 0.500 0.500 x2
Ga1 0.500 0.500 0.000 x1
Pt1 0.500 0.500 0.500 x1

Calculated values
Relative energy among the computed polymorphs in eV per atom: 0.009
Energy of formation from the pure elements in eV per atom: -0.4826

No. 25
# Ba2ZnGa3Pt4

A geometry-optimized Ba2ZnGa3Pt4 structure (PBE-GGA, Alexandria via LeMat-Bulk).

Cell: 4.539 4.539 10.428 Å, 90.00 90.00 90.00°
Space group P-4m2 (No. 115)
Asymmetric unit:
Ba1 0.000 0.500 0.248 x2
Zn1 0.000 0.000 0.500 x1
Ga1 0.000 0.500 0.880 x2
Ga2 0.500 0.500 0.500 x1
Pt1 0.000 0.000 0.000 x1
Pt2 0.000 0.500 0.627 x2
Pt3 0.500 0.500 0.000 x1

Calculated values
Energy of formation from the pure elements in eV per atom: -0.7752

no.,DFT total energy (eV/atom)
1,-5.39
2,-4.13
3,-4.93
4,-5.34
5,-5.54
6,-5.62
7,-4.90
8,-5.38
9,-4.70
10,-3.55
11,-3.27
12,-5.06
13,-4.64
14,-3.55
15,-3.58
16,-4.08
17,-4.91
18,-3.58
19,-4.37
20,-3.20
21,-3.24
22,-4.15
23,-2.63
24,-3.19
25,-4.61